Record 1
Density functional theory data (PBE-GGA) for Hf2InH after structural relaxation.

Cell and atoms, written as CIF:
```
data_Hf2InH
_chemical_formula_sum 'Hf8 In4 H4'
_cell_length_a 5.227
_cell_length_b 5.245
_cell_length_c 9.819
_cell_angle_alpha 90.00
_cell_angle_beta 90.00
_cell_angle_gamma 90.00
_space_group_name_H-M_alt 'P 1'
_space_group_IT_number 1
loop_
_space_group_symop_operation_xyz
'x,y,z'
loop_
_atom_site_label
_atom_site_fract_x
_atom_site_fract_y
_atom_site_fract_z
Hf1 0.762 0.000 0.914
Hf2 0.238 0.000 0.086
Hf3 0.262 0.500 0.586
Hf4 0.738 0.500 0.414
Hf5 0.762 0.500 0.086
Hf6 0.238 0.500 0.914
Hf7 0.262 0.000 0.414
Hf8 0.738 0.000 0.586
In1 0.250 0.500 0.250
In2 0.750 0.500 0.750
In3 0.750 0.000 0.250
In4 0.250 0.000 0.750
H1 0.000 0.250 0.500
H2 0.000 0.750 0.500
H3 0.500 0.250 0.000
H4 0.500 0.750 0.000
```

Polymorph energy (0 for the lowest one) = 0.0 meV per atom


Record 2
Density functional theory data (PBE-GGA) for CaPr2GaN after structural relaxation.

Cell and atoms, written as CIF:
```
data_CaPr2GaN
_chemical_formula_sum 'Ca1 Pr2 Ga1 N1'
_cell_length_a 4.799
_cell_length_b 5.054
_cell_length_c 5.054
_cell_angle_alpha 90.00
_cell_angle_beta 90.00
_cell_angle_gamma 90.00
_space_group_name_H-M_alt 'P 1'
_space_group_IT_number 1
loop_
_space_group_symop_operation_xyz
'x,y,z'
loop_
_atom_site_label
_atom_site_fract_x
_atom_site_fract_y
_atom_site_fract_z
Ca1 0.500 0.000 0.000
Pr1 0.000 0.000 0.500
Pr2 0.000 0.500 0.000
Ga1 0.500 0.500 0.500
N1 0.000 0.000 0.000
```

Energy relative to the elements, uncorrected = -753.4 meV/atom


Record 3
Density functional theory data (PBE-GGA) for Li3Sb2P3O12 after structural relaxation.

Cell and atoms, written as CIF:
```
data_Li3Sb2P3O12
_chemical_formula_sum 'Li6 Sb4 P6 O24'
_cell_length_a 8.515
_cell_length_b 8.515
_cell_length_c 8.476
_cell_angle_alpha 67.67
_cell_angle_beta 67.67
_cell_angle_gamma 66.90
_space_group_name_H-M_alt 'P 1'
_space_group_IT_number 1
loop_
_space_group_symop_operation_xyz
'x,y,z'
loop_
_atom_site_label
_atom_site_fract_x
_atom_site_fract_y
_atom_site_fract_z
Li1 0.506 0.008 0.233
Li2 0.360 0.640 0.500
Li3 0.992 0.494 0.767
Li4 0.631 0.369 0.000
Li5 0.251 0.132 0.618
Li6 0.868 0.749 0.382
Sb1 0.343 0.857 0.090
Sb2 0.143 0.657 0.910
Sb3 0.843 0.344 0.591
Sb4 0.656 0.157 0.409
P1 0.748 0.596 0.156
P2 0.404 0.252 0.844
P3 0.083 0.917 0.500
P4 0.916 0.084 0.000
P5 0.584 0.747 0.656
P6 0.253 0.416 0.344
O1 0.196 0.462 0.179
O2 0.931 0.928 0.945
O3 0.593 0.774 0.148
O4 0.449 0.679 0.648
O5 0.903 0.607 0.978
O6 0.684 0.444 0.172
O7 0.393 0.097 0.022
O8 0.226 0.407 0.852
O9 0.103 0.734 0.648
O10 0.072 0.069 0.055
O11 0.732 0.113 0.153
O12 0.538 0.804 0.821
O13 0.427 0.183 0.690
O14 0.266 0.897 0.352
O15 0.932 0.939 0.429
O16 0.887 0.268 0.847
O17 0.774 0.600 0.640
O18 0.614 0.905 0.479
O19 0.321 0.551 0.352
O20 0.095 0.386 0.521
O21 0.556 0.316 0.828
O22 0.400 0.226 0.360
O23 0.061 0.068 0.571
O24 0.817 0.573 0.310
```

Energy relative to the elements, uncorrected = -2014.4 meV/atom
Polymorph energy (0 for the lowest one) = 29.3 meV per atom


Number 1: N(E_F) 0.522 states/eV/atom. Number 2: N(E_F) 0.429 states/eV/atom. Number 3: N(E_F) 0.000 states/eV/atom.